1.
## BaTaIn2 (PBE)

Data for crystalline BaTaIn2 at its relaxed geometry.

## Properties
Electronic total energy (eV/atom): -4.18
Spin magnetization (μB/cell): 0.0
DFT formation energy (meV/atom): 633.7
Space group: I-4m2, No. 119
Distance to the lowest polymorph of the same formula (meV per atom): 470

Cell and atoms, written as POSCAR:
```
BaTaIn2
1.0
-2.3134 2.3134 5.1238
2.3134 -2.3134 5.1238
2.3134 2.3134 -5.1238
Ba Ta In
1 1 2
Cartesian
0.0000 0.0000 0.0000
0.0000 2.3134 2.5619
2.3134 0.0000 2.5619
0.0000 0.0000 5.1238
```

***

2.
## Pm2PuRu (PBE)

Data for crystalline Pm2PuRu at its relaxed geometry.

## Properties
Electronic total energy (eV/atom): -8.29
Spin magnetization (μB/cell): 7.1
DFT formation energy (meV/atom): -9.4
Space group: P4/mmm, No. 123
Distance to the lowest polymorph of the same formula (meV per atom): 8

Cell and atoms, written as POSCAR:
```
Pm2PuRu
1.0
3.4878 0.0000 0.0000
0.0000 3.4878 0.0000
0.0000 0.0000 8.7751
Pm Pu Ru
2 1 1
Cartesian
0.0000 0.0000 1.7134
0.0000 0.0000 7.0617
1.7439 1.7439 4.3875
1.7439 1.7439 0.0000
```

***

3.
## AcNd3Sb4 (PBE)

Data for crystalline AcNd3Sb4 at its relaxed geometry.

## Properties
Electronic total energy (eV/atom): -5.53
Spin magnetization (μB/cell): 0.0
ΔE_f (raw) (eV per atom): -1.169
Space group: Pm-3m, No. 221
Distance to the lowest polymorph of the same formula (meV per atom): 11

Cell and atoms, written as POSCAR:
```
AcNd3Sb4
1.0
6.5045 0.0000 0.0000
0.0000 6.5045 0.0000
0.0000 0.0000 6.5045
Ac Nd Sb
1 3 4
Cartesian
0.0000 0.0000 0.0000
0.0000 3.2522 3.2522
3.2522 0.0000 3.2522
3.2522 3.2522 0.0000
0.0000 0.0000 3.2522
0.0000 3.2522 0.0000
3.2522 0.0000 0.0000
3.2522 3.2522 3.2522
```

***

Which value of electronic total energy does entry 2 give?
-8.29 eV/atom